The following is a DFT calculation (PBE) of a relaxed structure of Mg2TlVZn.

Lattice parameters (Å, degrees): 5.332 4.992 5.332 90.00 90.00 90.00
Each line ends with the local moment (μB).
Element x y z (fractional)
Tl1 0.500 0.500 0.500  0.01
Zn1 0.000 0.500 0.000  0.11
Mg1 0.000 0.000 0.500  0.03
Mg2 0.500 0.000 0.000  0.05
V1 0.000 0.000 0.000  2.98

Mass density in g cm⁻³: 4.32
Spin magnetization in Bohr magnetons per cell: 4.39
Formation energy from the elements in eV per atom: 0.70
Total DFT energy (no corrections) in eV/atom: -2.486